(1)
# GGA-PBE KHfZnS2, relaxed
data_KHfZnS2
_symmetry_space_group_name_H-M 'P 1'
_symmetry_Int_Tables_number 1
_cell_length_a 5.218
_cell_length_b 5.218
_cell_length_c 4.792
_cell_angle_alpha 90.00
_cell_angle_beta 90.00
_cell_angle_gamma 90.00
loop_
_symmetry_equiv_pos_as_xyz
'x,y,z'
loop_
_atom_site_label
_atom_site_fract_x
_atom_site_fract_y
_atom_site_fract_z
_atom_site_occupancy
K1 0.000 0.000 0.000 1
Hf1 0.500 0.500 0.500 1
Zn1 0.000 0.000 0.500 1
S1 0.000 0.500 0.000 1
S2 0.500 0.000 0.000 1
# spin magnetization	0.0004	μB per atom
# VASP energy	-3.04	eV/atom
# calculated density	4.4	g/cm3
# N(E_F)	4.6	states/eV/cell
# space group	No. 123

=====

(2)
# GGA-PBE K2HfZrS, relaxed
data_K2HfZrS
_symmetry_space_group_name_H-M 'P 1'
_symmetry_Int_Tables_number 1
_cell_length_a 6.334
_cell_length_b 6.334
_cell_length_c 5.076
_cell_angle_alpha 90.00
_cell_angle_beta 90.00
_cell_angle_gamma 90.00
loop_
_symmetry_equiv_pos_as_xyz
'x,y,z'
loop_
_atom_site_label
_atom_site_fract_x
_atom_site_fract_y
_atom_site_fract_z
_atom_site_occupancy
K1 0.000 0.500 0.000 1
K2 0.500 0.000 0.000 1
Hf1 0.000 0.000 0.500 1
Zr1 0.000 0.000 0.000 1
S1 0.500 0.500 0.500 1
# spin magnetization	0.2485	μB per atom
# VASP energy	-3.65	eV/atom
# calculated density	3.1	g/cm3
# N(E_F)	7.1	states/eV/cell
# space group	No. 123

=====

(3)
# GGA-PBE K3HfZr2S6, relaxed
data_K3HfZr2S6
_symmetry_space_group_name_H-M 'P 1'
_symmetry_Int_Tables_number 1
_cell_length_a 6.481
_cell_length_b 6.481
_cell_length_c 7.770
_cell_angle_alpha 97.99
_cell_angle_beta 97.99
_cell_angle_gamma 119.99
loop_
_symmetry_equiv_pos_as_xyz
'x,y,z'
loop_
_atom_site_label
_atom_site_fract_x
_atom_site_fract_y
_atom_site_fract_z
_atom_site_occupancy
K1 0.000 0.000 0.000 1
K2 0.331 0.669 0.000 1
K3 0.669 0.331 0.000 1
Hf1 0.500 0.500 0.500 1
Zr1 0.166 0.834 0.500 1
Zr2 0.834 0.166 0.500 1
S1 0.105 0.433 0.300 1
S2 0.239 0.239 0.701 1
S3 0.433 0.105 0.300 1
S4 0.567 0.895 0.700 1
S5 0.761 0.761 0.299 1
S6 0.895 0.567 0.700 1
# spin magnetization	0.0000	μB per atom
# VASP energy	-6.09	eV/atom
# calculated density	4.1	g/cm3
# N(E_F)	5.0	states/eV/cell
# space group	No. 12

=====

(4)
# GGA-PBE KHf2ZrS, relaxed
data_KHf2ZrS
_symmetry_space_group_name_H-M 'P 1'
_symmetry_Int_Tables_number 1
_cell_length_a 5.123
_cell_length_b 5.123
_cell_length_c 6.029
_cell_angle_alpha 90.00
_cell_angle_beta 90.00
_cell_angle_gamma 90.00
loop_
_symmetry_equiv_pos_as_xyz
'x,y,z'
loop_
_atom_site_label
_atom_site_fract_x
_atom_site_fract_y
_atom_site_fract_z
_atom_site_occupancy
K1 0.000 0.000 0.000 1
Hf1 0.000 0.500 0.500 1
Hf2 0.500 0.000 0.500 1
Zr1 0.000 0.000 0.500 1
S1 0.500 0.500 0.000 1
# spin magnetization	0.0000	μB per atom
# VASP energy	-5.37	eV/atom
# calculated density	5.5	g/cm3
# N(E_F)	6.6	states/eV/cell
# space group	No. 123